# LiEr3Tm3Te8

A relaxed LiEr3Tm3Te8 crystal (PBE-GGA, Alexandria).

Cell lengths 8.5905, 8.5903, 8.5932 Å; angles 119.99, 90.00, 120.00 degrees
Fractional coordinates of all 15 atoms:
Li 0.0000 0.0000 0.5000
Er 0.0000 0.0000 0.0000
Er 0.0000 0.5000 0.0000
Er 0.5000 0.5000 0.0000
Tm 0.5000 0.0000 0.5000
Tm 0.5000 0.5000 0.5000
Tm 0.0000 0.5000 0.5000
Te 0.2505 0.5010 0.2514
Te 0.7495 0.4990 0.7486
Te 0.7501 0.5002 0.2511
Te 0.2499 0.4998 0.7489
Te 0.7501 0.0010 0.2511
Te 0.2499 0.9990 0.7489
Te 0.2509 0.0010 0.2511
Te 0.7491 0.9990 0.7489

Results
- theoretical density (g/cm³) = 7.5
- formation energy without anion corrections (meV per atom) = -1270
- final energy (eV/f.u.) = -73.20
- space-group type = R-3m